#A
HfTh3 | PBE | optimized geometry

Results
The calculation puts the total magnetization at 0.00 μB/cell. For the calculated volume, the calculation gives 29.6 A^3/atom.

a b c (Å): 4.8994 4.8994 9.8780
angles (deg): 90.00 90.00 90.00
Closest atoms and distances in Å follow each position.
Space group I4/mmm (No. 139)
Unique sites:
1 Hf 0.0000 0.0000 0.0000 [2 per cell]  12 Th 3.46-3.48
2 Th 0.0000 0.0000 0.5000 [2 per cell]  4 Hf 3.46, 8 Th 3.48
3 Th 0.0000 0.5000 0.2500 [4 per cell]  8 Th 3.46-3.48, 4 Hf 3.48

#B
HfTh3 | PBE | optimized geometry

Results
The calculation puts the total magnetization at 0.00 μB/cell. For the calculated volume, the calculation gives 29.5 A^3/atom.

a b c (Å): 7.7888 7.7888 7.7888
angles (deg): 90.00 90.00 90.00
Closest atoms and distances in Å follow each position.
Space group Fm-3m (No. 225)
Unique sites:
1 Hf 0.0000 0.0000 0.0000 [4 per cell]  8 Th 3.37
2 Th 0.0000 0.0000 0.5000 [4 per cell]  8 Th 3.37
3 Th 0.2500 0.2500 0.2500 [8 per cell]  4 Hf 3.37, 4 Th 3.37

#A is the most stable structure; the next one sits 116 meV/atom above it.

#A
HfThTi2 | PBE | optimized geometry

Results
The calculation puts the total magnetization at 0.00 μB/cell. For the calculated volume, the calculation gives 21.4 A^3/atom.

a b c (Å): 7.0000 7.0000 7.0000
angles (deg): 90.00 90.00 90.00
Closest atoms and distances in Å follow each position.
Space group Fm-3m (No. 225)
Unique sites:
1 Hf 0.0000 0.0000 0.0000 [4 per cell]  8 Ti 3.03
2 Th 0.0000 0.0000 0.5000 [4 per cell]  8 Ti 3.03
3 Ti 0.2500 0.2500 0.2500 [8 per cell]  4 Hf 3.03, 4 Th 3.03

#B
HfThTi2 | PBE | optimized geometry

Results
The calculation puts the total magnetization at 0.00 μB/cell. For the calculated volume, the calculation gives 22.3 A^3/atom.

a b c (Å): 3.6380 3.6380 6.7468
angles (deg): 90.00 90.00 90.00
Closest atoms and distances in Å follow each position.
Space group P4/mmm (No. 123)
Unique sites:
1 Hf 0.0000 0.0000 0.0000 [1 per cell]  8 Ti 2.92
2 Th 0.0000 0.0000 0.5000 [1 per cell]  8 Ti 3.25, 2 Hf 3.37, 4 Th 3.64
3 Ti 0.5000 0.5000 0.2058 [2 per cell]  1 Ti 2.78, 4 Hf 2.92

#A is the most stable structure; the next one sits 18 meV/atom above it.

#A
HfTh2Tl | PBE | optimized geometry

Results
The calculation puts the total magnetization at 0.00 μB/cell. For the calculated volume, the calculation gives 27.7 A^3/atom.

a b c (Å): 4.7685 4.7685 4.8720
angles (deg): 90.00 90.00 90.00
Closest atoms and distances in Å follow each position.
Space group P4/mmm (No. 123)
Unique sites:
1 Hf 0.0000 0.0000 0.0000 [1 per cell]  4 Tl 3.37, 8 Th 3.41
2 Th 0.0000 0.5000 0.5000 [2 per cell]  4 Th 3.37, 4 Hf 3.41, 4 Tl 3.41
3 Tl 0.5000 0.5000 0.0000 [1 per cell]  4 Hf 3.37, 8 Th 3.41

#B
HfTh2Tl | PBE | optimized geometry

Results
The calculation puts the total magnetization at 0.00 μB/cell. For the calculated volume, the calculation gives 28.9 A^3/atom.

a b c (Å): 3.4038 3.4038 9.9658
angles (deg): 90.00 90.00 90.00
Closest atoms and distances in Å follow each position.
Space group P4/mmm (No. 123)
Unique sites:
1 Hf 0.0000 0.0000 0.0000 [1 per cell]  8 Th 3.38, 4 Hf 3.40
2 Th 0.5000 0.5000 0.2376 [2 per cell]  4 Hf 3.38, 4 Th 3.40, 4 Tl 3.55
3 Tl 0.0000 0.0000 0.5000 [1 per cell]  4 Tl 3.40, 8 Th 3.55

#C
HfTh2Tl | PBE | optimized geometry

Results
The calculation puts the total magnetization at 0.00 μB/cell. For the calculated volume, the calculation gives 28.9 A^3/atom.

a b c (Å): 3.3364 3.3364 35.9566
angles (deg): 90.00 90.00 120.00
Closest atoms and distances in Å follow each position.
Space group R-3m (No. 166, hexagonal axes)
Unique sites:
1 Hf 0.0000 0.0000 0.0000 [3 per cell]  2 Th 3.08, 6 Hf 3.34
2 Th 0.0000 0.0000 0.0857 [6 per cell]  1 Hf 3.08, 6 Th 3.34
3 Tl 0.0000 0.0000 0.5000 [3 per cell]  6 Tl 3.34, 6 Th 3.49

#B is the most stable structure; the next one sits 15 meV/atom above it.

#A
Tm2HfTh | PBE | optimized geometry

Results
The calculation puts the total magnetization at 0.00 μB/cell. For the calculated volume, the calculation gives 28.4 A^3/atom.

a b c (Å): 3.3981 3.3981 34.0359
angles (deg): 90.00 90.00 120.00
Closest atoms and distances in Å follow each position.
Space group R3m (No. 160, hexagonal axes)
Unique sites:
1 Tm 0.0000 0.0000 0.0000 [3 per cell]  3 Hf 3.26, 6 Tm 3.40, 3 Th 3.61
2 Tm 0.0000 0.0000 0.1800 [3 per cell]  3 Hf 3.27, 6 Tm 3.40
3 Hf 0.0000 0.0000 0.5901 [3 per cell]  6 Tm 3.26-3.27, 6 Hf 3.40
4 Th 0.0000 0.0000 0.7558 [3 per cell]  6 Th 3.40, 6 Tm 3.61-3.66

#B
Tm2HfTh | PBE | optimized geometry

Results
The calculation puts the total magnetization at 0.00 μB/cell. For the calculated volume, the calculation gives 28.4 A^3/atom.

a b c (Å): 4.0040 4.0040 7.0914
angles (deg): 90.00 90.00 90.00
Closest atoms and distances in Å follow each position.
Space group P4/mmm (No. 123)
Unique sites:
1 Tm 0.0000 0.0000 0.2295 [2 per cell]  1 Tm 3.25, 4 Hf 3.27, 4 Th 3.42
2 Hf 0.5000 0.5000 0.0000 [1 per cell]  8 Tm 3.27, 2 Th 3.55
3 Th 0.5000 0.5000 0.5000 [1 per cell]  8 Tm 3.42, 2 Hf 3.55

#C
Tm2HfTh | PBE | optimized geometry

Results
The calculation puts the total magnetization at 0.00 μB/cell. For the calculated volume, the calculation gives 28.1 A^3/atom.

a b c (Å): 4.7729 4.7729 4.9361
angles (deg): 90.00 90.00 90.00
Closest atoms and distances in Å follow each position.
Space group P4/mmm (No. 123)
Unique sites:
1 Tm 0.0000 0.5000 0.0000 [2 per cell]  4 Tm 3.37, 4 Hf 3.43, 4 Th 3.43
2 Hf 0.0000 0.0000 0.5000 [1 per cell]  4 Th 3.37, 8 Tm 3.43
3 Th 0.5000 0.5000 0.5000 [1 per cell]  4 Hf 3.37, 8 Tm 3.43

#D
Tm2HfTh | PBE | optimized geometry

Results
The calculation puts the total magnetization at 0.00 μB/cell. For the calculated volume, the calculation gives 28.8 A^3/atom.

a b c (Å): 3.3548 3.3548 35.4599
angles (deg): 90.00 90.00 120.00
Closest atoms and distances in Å follow each position.
Space group R-3m (No. 166, hexagonal axes)
Unique sites:
1 Tm 0.0000 0.0000 0.0872 [6 per cell]  1 Hf 3.09, 6 Tm 3.35, 3 Th 3.42
2 Hf 0.0000 0.0000 0.0000 [3 per cell]  2 Tm 3.09, 6 Hf 3.35
3 Th 0.0000 0.0000 0.5000 [3 per cell]  6 Th 3.35, 6 Tm 3.42

#C is the most stable structure; the next one sits 21 meV/atom above it.

#A
YHfTh2 | PBE | optimized geometry

Results
The calculation puts the total magnetization at 0.00 μB/cell. For the calculated volume, the calculation gives 29.8 A^3/atom.

a b c (Å): 3.4795 3.4795 9.8367
angles (deg): 90.00 90.00 90.00
Closest atoms and distances in Å follow each position.
Space group P4/mmm (No. 123)
Unique sites:
1 Y 0.0000 0.0000 0.0000 [1 per cell]  4 Y 3.48, 8 Th 3.60
2 Hf 0.0000 0.0000 0.5000 [1 per cell]  8 Th 3.36, 4 Hf 3.48
3 Th 0.5000 0.5000 0.2675 [2 per cell]  4 Hf 3.36, 4 Th 3.48, 4 Y 3.60

#B
YHfTh2 | PBE | optimized geometry

Results
The calculation puts the total magnetization at 0.00 μB/cell. For the calculated volume, the calculation gives 29.9 A^3/atom.

a b c (Å): 3.3765 3.3765 36.3854
angles (deg): 90.00 90.00 120.00
Closest atoms and distances in Å follow each position.
Space group R-3m (No. 166, hexagonal axes)
Unique sites:
1 Y 0.0000 0.0000 0.0000 [3 per cell]  2 Th 3.28, 6 Y 3.38
2 Hf 0.0000 0.0000 0.5000 [3 per cell]  6 Hf 3.38, 6 Th 3.40
3 Th 0.0000 0.0000 0.0903 [6 per cell]  1 Y 3.28, 6 Th 3.38, 3 Hf 3.40

#A is the most stable structure; the next one sits 170 meV/atom above it.

#A
YHfTh2 | PBE | optimized geometry

Results
The calculation puts the total magnetization at 0.00 μB/cell. For the calculated volume, the calculation gives 29.5 A^3/atom.

a b c (Å): 3.4730 3.4730 33.8492
angles (deg): 90.00 90.00 120.00
Closest atoms and distances in Å follow each position.
Space group R3m (No. 160, hexagonal axes)
Unique sites:
1 Y 0.0000 0.0000 0.0000 [3 per cell]  6 Y 3.47, 6 Th 3.51-3.63
2 Hf 0.0000 0.0000 0.8299 [3 per cell]  6 Th 3.32-3.39, 6 Hf 3.47
3 Th 0.0000 0.0000 0.2441 [3 per cell]  3 Hf 3.39, 6 Th 3.47, 3 Y 3.63
4 Th 0.0000 0.0000 0.4186 [3 per cell]  3 Hf 3.32, 6 Th 3.47, 3 Y 3.51

#B
YHfTh2 | PBE | optimized geometry

Results
The calculation puts the total magnetization at 0.00 μB/cell. For the calculated volume, the calculation gives 29.5 A^3/atom.

a b c (Å): 4.9302 4.9302 4.8604
angles (deg): 90.00 90.00 90.00
Closest atoms and distances in Å follow each position.
Space group P4/mmm (No. 123)
Unique sites:
1 Y 0.0000 0.0000 0.0000 [1 per cell]  8 Th 3.46, 4 Hf 3.49
2 Hf 0.5000 0.5000 0.0000 [1 per cell]  8 Th 3.46, 4 Y 3.49
3 Th 0.0000 0.5000 0.5000 [2 per cell]  4 Hf 3.46, 4 Y 3.46, 4 Th 3.49

#B is the most stable structure; the next one sits 5 meV/atom above it.